one | Entry from Alexandria: an optimized crystal structure of TeMoSe (PBE-GGA).

The density of states at the Fermi level is 0.935 states/eV per atom. Its magnetic moment is 1.83 μB per formula unit. As for the crystal system: cubic. Its volume is 280.5 Å³/cell.

Cell: 6.5464 6.5464 6.5464 Å, 90.00 90.00 90.00°
Space group F-43m (No. 216)
Inequivalent atoms, fractional coordinates:
1 Te 0.0000 0.0000 0.0000 [4 per cell]
2 Mo 0.0000 0.0000 0.5000 [4 per cell]
3 Se 0.2500 0.2500 0.7500 [4 per cell]

***

two | Entry from Alexandria: an optimized crystal structure of TeMoSe (PBE-GGA).

The density of states at the Fermi level is 1.181 states/eV per atom. Its magnetic moment is 0.01 μB per formula unit. As for the crystal system: trigonal. Its volume is 61.5 Å³/cell.

Cell: 4.4694 4.4694 3.5527 Å, 90.00 90.00 120.00°
Space group P3m1 (No. 156)
Inequivalent atoms, fractional coordinates:
1 Te 0.0000 0.0000 0.0000 [1 per cell]
2 Mo 0.3333 0.6667 0.4802 [1 per cell]
3 Se 0.6667 0.3333 0.4929 [1 per cell]

***

Relative energies, eV/atom: one 0.610; two 0.000.